# 1
First-principles (GGA-PBE) data for crystalline TiReW2 at its relaxed geometry, as listed in the Alexandria database.

Unit cell a=3.142 b=4.460 c=4.460 alpha=90.00 beta=90.00 gamma=90.00
Fractional coordinates of all 4 atoms:
W1 0.000 0.500 0.000
W2 0.000 0.000 0.500
Re1 0.500 0.500 0.500
Ti1 0.500 0.000 0.000

Output
The formation energy is -0.59 eV/f.u. The value obtained for the energy above the most stable polymorph in this dataset is 7.59 kJ per mole of atoms. The calculation puts the density at 15.986 Mg/m³.


# 2
First-principles (GGA-PBE) data for crystalline Ti3Re2W at its relaxed geometry, as listed in the Alexandria database.

Unit cell a=3.129 b=3.129 c=9.453 alpha=90.00 beta=90.00 gamma=90.00
Fractional coordinates of all 6 atoms:
Re1 0.500 0.500 0.166
Re2 0.500 0.500 0.834
Ti1 0.000 0.000 0.674
Ti2 0.000 0.000 0.326
Ti3 0.000 0.000 0.000
W1 0.500 0.500 0.500

Output
The formation energy is -1.40 eV/f.u. The value obtained for the energy above the most stable polymorph in this dataset is 0.00 kJ per mole of atoms. The calculation puts the density at 12.559 Mg/m³.


# 3
First-principles (GGA-PBE) data for crystalline Ti4Re5W at its relaxed geometry, as listed in the Alexandria database.

Unit cell a=3.124 b=3.124 c=15.614 alpha=90.00 beta=90.00 gamma=90.00
Fractional coordinates of all 10 atoms:
Ti1 0.000 0.000 0.400
Ti2 0.000 0.000 0.600
Ti3 0.000 0.000 0.797
Ti4 0.000 0.000 0.203
Re1 0.500 0.500 0.100
Re2 0.500 0.500 0.500
Re3 0.500 0.500 0.900
Re4 0.500 0.500 0.700
Re5 0.500 0.500 0.300
W1 0.000 0.000 0.000

Output
The formation energy is -3.68 eV/f.u. The calculation puts the density at 14.235 Mg/m³.


# 4
First-principles (GGA-PBE) data for crystalline Ti2Re4W3 at its relaxed geometry, as listed in the Alexandria database.

Unit cell a=4.432 b=4.432 c=8.171 alpha=90.00 beta=90.00 gamma=60.00
Fractional coordinates of all 9 atoms:
Re1 0.000 0.000 0.667
Re2 0.667 0.667 0.889
Re3 0.000 0.000 0.333
Re4 0.333 0.333 0.111
W1 0.667 0.667 0.560
W2 0.000 0.000 0.000
W3 0.333 0.333 0.440
Ti1 0.333 0.333 0.780
Ti2 0.667 0.667 0.220

Output
The formation energy is -2.48 eV/f.u. The calculation puts the density at 16.631 Mg/m³.


# 5
First-principles (GGA-PBE) data for crystalline Ti5Re4W at its relaxed geometry, as listed in the Alexandria database.

Unit cell a=3.126 b=3.126 c=15.660 alpha=90.00 beta=90.00 gamma=90.00
Fractional coordinates of all 10 atoms:
Ti1 0.500 0.500 0.105
Ti2 0.500 0.500 0.698
Ti3 0.500 0.500 0.500
Ti4 0.500 0.500 0.302
Ti5 0.500 0.500 0.895
Re1 0.000 0.000 0.401
Re2 0.000 0.000 0.599
Re3 0.000 0.000 0.799
Re4 0.000 0.000 0.201
W1 0.000 0.000 0.000

Output
The formation energy is -2.94 eV/f.u. The calculation puts the density at 12.676 Mg/m³.


# 6
First-principles (GGA-PBE) data for crystalline Ti2Re2W at its relaxed geometry, as listed in the Alexandria database.

Unit cell a=3.063 b=3.082 c=9.198 alpha=80.36 beta=90.00 gamma=90.00
Fractional coordinates of all 5 atoms:
Re1 0.500 0.589 0.823
Re2 0.500 0.411 0.177
W1 0.000 0.000 0.000
Ti1 0.000 0.175 0.651
Ti2 0.000 0.825 0.349

Output
The formation energy is 0.04 eV/f.u. The calculation puts the density at 12.648 Mg/m³.


# 7
First-principles (GGA-PBE) data for crystalline TiRe3W2 at its relaxed geometry, as listed in the Alexandria database.

Unit cell a=3.129 b=3.129 c=9.459 alpha=90.00 beta=90.00 gamma=90.00
Fractional coordinates of all 6 atoms:
Re1 0.000 0.000 0.334
Re2 0.000 0.000 0.666
Re3 0.000 0.000 0.000
W1 0.500 0.500 0.172
W2 0.500 0.500 0.828
Ti1 0.500 0.500 0.500

Output
The formation energy is -1.12 eV/f.u. The calculation puts the density at 17.463 Mg/m³.


# 8
First-principles (GGA-PBE) data for crystalline Ti6Re5W at its relaxed geometry, as listed in the Alexandria database.

Unit cell a=4.418 b=6.267 c=6.971 alpha=90.00 beta=108.47 gamma=90.00
Fractional coordinates of all 12 atoms:
Ti1 0.500 0.254 0.000
Ti2 0.168 0.252 0.337
Ti3 0.832 0.748 0.663
Ti4 0.832 0.252 0.663
Ti5 0.168 0.748 0.337
Ti6 0.500 0.746 0.000
Re1 0.667 0.500 0.334
Re2 0.665 0.000 0.329
Re3 0.335 0.000 0.671
Re4 0.333 0.500 0.666
Re5 0.000 0.500 0.000
W1 0.000 0.000 0.000

Output
The formation energy is -3.75 eV/f.u. The calculation puts the density at 12.717 Mg/m³.